# 1
# LiCS2N | Alexandria | PBE-GGA | optimized geometry
# Density of states at the Fermi level in states/eV/atom: 0.181
# V in Å³/atom: 15.28
# Crystal system: tetragonal
# ΔE_f (raw) in eV/atom: 0.411
# ΔE to the lowest computed polymorph in meV per atom: 0
data_LiCS2N
_chemical_formula_sum 'Li1 C1 S2 N1'
_cell_length_a 5.6036
_cell_length_b 5.6036
_cell_length_c 2.4327
_cell_angle_alpha 90.00
_cell_angle_beta 90.00
_cell_angle_gamma 90.00
_space_group_name_H-M_alt 'P 4/m m m'
_space_group_IT_number 123
_space_group_name_Hall '-P 4 2'
loop_
_atom_site_label
_atom_site_fract_x
_atom_site_fract_y
_atom_site_fract_z
Li1 0.0000 0.0000 0.0000
C1 0.5000 0.5000 0.5000
S1 0.0000 0.5000 0.5000
N1 0.5000 0.5000 0.0000

---

# 2
# LiCSN2 | Alexandria | PBE-GGA | optimized geometry
# Density of states at the Fermi level in states/eV/atom: 0.635
# V in Å³/atom: 15.29
# Crystal system: tetragonal
# ΔE_f (raw) in eV/atom: 2.774
# ΔE to the lowest computed polymorph in meV per atom: 1194
data_LiCSN2
_chemical_formula_sum 'Li1 C1 S1 N2'
_cell_length_a 3.1957
_cell_length_b 3.1957
_cell_length_c 7.4846
_cell_angle_alpha 90.00
_cell_angle_beta 90.00
_cell_angle_gamma 90.00
_space_group_name_H-M_alt 'P 4/m m m'
_space_group_IT_number 123
_space_group_name_Hall '-P 4 2'
loop_
_atom_site_label
_atom_site_fract_x
_atom_site_fract_y
_atom_site_fract_z
Li1 0.0000 0.0000 0.0000
C1 0.5000 0.5000 0.5000
S1 0.0000 0.0000 0.5000
N1 0.0000 0.5000 0.0000

---

# 3
# LiCS2N | Alexandria | PBE-GGA | optimized geometry
# Density of states at the Fermi level in states/eV/atom: 0.592
# V in Å³/atom: 12.91
# Crystal system: tetragonal
# ΔE_f (raw) in eV/atom: 2.326
# ΔE to the lowest computed polymorph in meV per atom: 1914
data_LiCS2N
_chemical_formula_sum 'Li1 C1 S2 N1'
_cell_length_a 4.3659
_cell_length_b 4.3659
_cell_length_c 3.3856
_cell_angle_alpha 90.00
_cell_angle_beta 90.00
_cell_angle_gamma 90.00
_space_group_name_H-M_alt 'P 4/m m m'
_space_group_IT_number 123
_space_group_name_Hall '-P 4 2'
loop_
_atom_site_label
_atom_site_fract_x
_atom_site_fract_y
_atom_site_fract_z
Li1 0.0000 0.0000 0.0000
C1 0.5000 0.5000 0.5000
S1 0.0000 0.5000 0.0000
N1 0.0000 0.0000 0.5000

---

# 4
# LiCSN | Alexandria | PBE-GGA | optimized geometry
# Density of states at the Fermi level in states/eV/atom: 0.000
# V in Å³/atom: 15.83
# Crystal system: orthorhombic
# ΔE_f (raw) in eV/atom: -0.373
data_LiCSN
_chemical_formula_sum 'Li4 C4 S4 N4'
_cell_length_a 12.8985
_cell_length_b 3.6900
_cell_length_c 5.3226
_cell_angle_alpha 90.00
_cell_angle_beta 90.00
_cell_angle_gamma 90.00
_space_group_name_H-M_alt 'P n m a'
_space_group_IT_number 62
loop_
_space_group_symop_operation_xyz
'x,y,z'
'-x,-y,-z'
'-x+1/2,-y,z+1/2'
'x+1/2,y,-z+1/2'
'x+1/2,-y+1/2,-z+1/2'
'-x+1/2,y+1/2,z+1/2'
'-x,y+1/2,-z'
'x,-y+1/2,z'
loop_
_atom_site_label
_atom_site_fract_x
_atom_site_fract_y
_atom_site_fract_z
Li1 0.0889 0.2500 0.0524
C1 0.1118 0.7500 0.6198
S1 0.1817 0.7500 0.3673
N1 0.0619 0.7500 0.8089

---

# 5
# LiCSN2 | Alexandria | PBE-GGA | optimized geometry
# Density of states at the Fermi level in states/eV/atom: 0.553
# V in Å³/atom: 14.08
# Crystal system: tetragonal
# ΔE_f (raw) in eV/atom: 1.580
# ΔE to the lowest computed polymorph in meV per atom: 0
data_LiCSN2
_chemical_formula_sum 'Li1 C1 S1 N2'
_cell_length_a 3.0231
_cell_length_b 3.0231
_cell_length_c 7.7036
_cell_angle_alpha 90.00
_cell_angle_beta 90.00
_cell_angle_gamma 90.00
_space_group_name_H-M_alt 'P 4/m m m'
_space_group_IT_number 123
_space_group_name_Hall '-P 4 2'
loop_
_atom_site_label
_atom_site_fract_x
_atom_site_fract_y
_atom_site_fract_z
Li1 0.0000 0.0000 0.0000
C1 0.5000 0.5000 0.5000
S1 0.5000 0.5000 0.0000
N1 0.0000 0.5000 0.5000

---

# 6
# Li2TcCN | Alexandria | PBE-GGA | optimized geometry
# Density of states at the Fermi level in states/eV/atom: 0.403
# V in Å³/atom: 10.69
# Crystal system: tetragonal
# ΔE_f (raw) in eV/atom: 0.856
data_Li2TcCN
_chemical_formula_sum 'Li2 Tc1 C1 N1'
_cell_length_a 3.6848
_cell_length_b 3.6848
_cell_length_c 3.9357
_cell_angle_alpha 90.00
_cell_angle_beta 90.00
_cell_angle_gamma 90.00
_space_group_name_H-M_alt 'P 4/m m m'
_space_group_IT_number 123
_space_group_name_Hall '-P 4 2'
loop_
_atom_site_label
_atom_site_fract_x
_atom_site_fract_y
_atom_site_fract_z
Li1 0.0000 0.5000 0.0000
Tc1 0.0000 0.0000 0.5000
C1 0.0000 0.0000 0.0000
N1 0.5000 0.5000 0.5000

---

# 7
# LiTe2CN | Alexandria | PBE-GGA | optimized geometry
# Density of states at the Fermi level in states/eV/atom: 0.228
# V in Å³/atom: 20.54
# Crystal system: tetragonal
# ΔE_f (raw) in eV/atom: 0.607
# ΔE to the lowest computed polymorph in meV per atom: 0
data_LiTe2CN
_chemical_formula_sum 'Li1 Te2 C1 N1'
_cell_length_a 6.2363
_cell_length_b 6.2363
_cell_length_c 2.6401
_cell_angle_alpha 90.00
_cell_angle_beta 90.00
_cell_angle_gamma 90.00
_space_group_name_H-M_alt 'P 4/m m m'
_space_group_IT_number 123
_space_group_name_Hall '-P 4 2'
loop_
_atom_site_label
_atom_site_fract_x
_atom_site_fract_y
_atom_site_fract_z
Li1 0.0000 0.0000 0.0000
Te1 0.0000 0.5000 0.5000
C1 0.5000 0.5000 0.5000
N1 0.5000 0.5000 0.0000

---

# 8
# LiTe2CN | Alexandria | PBE-GGA | optimized geometry
# Density of states at the Fermi level in states/eV/atom: 0.798
# V in Å³/atom: 16.43
# Crystal system: tetragonal
# ΔE_f (raw) in eV/atom: 1.881
# ΔE to the lowest computed polymorph in meV per atom: 1275
data_LiTe2CN
_chemical_formula_sum 'Li1 Te2 C1 N1'
_cell_length_a 4.9015
_cell_length_b 4.9015
_cell_length_c 3.4202
_cell_angle_alpha 90.00
_cell_angle_beta 90.00
_cell_angle_gamma 90.00
_space_group_name_H-M_alt 'P 4/m m m'
_space_group_IT_number 123
_space_group_name_Hall '-P 4 2'
loop_
_atom_site_label
_atom_site_fract_x
_atom_site_fract_y
_atom_site_fract_z
Li1 0.0000 0.0000 0.0000
Te1 0.0000 0.5000 0.0000
C1 0.5000 0.5000 0.5000
N1 0.0000 0.0000 0.5000

---

# 9
# LiTeCN2 | Alexandria | PBE-GGA | optimized geometry
# Density of states at the Fermi level in states/eV/atom: 0.456
# V in Å³/atom: 14.25
# Crystal system: tetragonal
# ΔE_f (raw) in eV/atom: 2.477
# ΔE to the lowest computed polymorph in meV per atom: 442
data_LiTeCN2
_chemical_formula_sum 'Li1 Te1 C1 N2'
_cell_length_a 3.4315
_cell_length_b 3.4315
_cell_length_c 6.0527
_cell_angle_alpha 90.00
_cell_angle_beta 90.00
_cell_angle_gamma 90.00
_space_group_name_H-M_alt 'P 4/m m m'
_space_group_IT_number 123
_space_group_name_Hall '-P 4 2'
loop_
_atom_site_label
_atom_site_fract_x
_atom_site_fract_y
_atom_site_fract_z
Li1 0.0000 0.0000 0.0000
Te1 0.0000 0.0000 0.5000
C1 0.5000 0.5000 0.5000
N1 0.0000 0.5000 0.0000

---

# 10
# Li5TeCN2 | Alexandria | PBE-GGA | optimized geometry
# Density of states at the Fermi level in states/eV/atom: 0.158
# V in Å³/atom: 14.44
# Crystal system: tetragonal
# ΔE_f (raw) in eV/atom: -0.611
data_Li5TeCN2
_chemical_formula_sum 'Li5 Te1 C1 N2'
_cell_length_a 4.3178
_cell_length_b 4.3178
_cell_length_c 6.9717
_cell_angle_alpha 90.00
_cell_angle_beta 90.00
_cell_angle_gamma 90.00
_space_group_name_H-M_alt 'P 4/m m m'
_space_group_IT_number 123
_space_group_name_Hall '-P 4 2'
loop_
_atom_site_label
_atom_site_fract_x
_atom_site_fract_y
_atom_site_fract_z
Li1 0.0000 0.0000 0.0000
Li2 0.0000 0.5000 0.2765
Te1 0.5000 0.5000 0.0000
C1 0.0000 0.0000 0.5000
N1 0.0000 0.0000 0.3212

---

# 11
# LiTeCN2 | Alexandria | PBE-GGA | optimized geometry
# Density of states at the Fermi level in states/eV/atom: 0.501
# V in Å³/atom: 12.24
# Crystal system: tetragonal
# ΔE_f (raw) in eV/atom: 2.035
# ΔE to the lowest computed polymorph in meV per atom: 0
data_LiTeCN2
_chemical_formula_sum 'Li1 Te1 C1 N2'
_cell_length_a 3.5663
_cell_length_b 3.5663
_cell_length_c 4.8133
_cell_angle_alpha 90.00
_cell_angle_beta 90.00
_cell_angle_gamma 90.00
_space_group_name_H-M_alt 'P 4/m m m'
_space_group_IT_number 123
_space_group_name_Hall '-P 4 2'
loop_
_atom_site_label
_atom_site_fract_x
_atom_site_fract_y
_atom_site_fract_z
Li1 0.0000 0.0000 0.0000
Te1 0.5000 0.5000 0.0000
C1 0.5000 0.5000 0.5000
N1 0.0000 0.5000 0.5000

---

# 12
# NaLi3C | Alexandria | PBE-GGA | optimized geometry
# Density of states at the Fermi level in states/eV/atom: 0.452
# V in Å³/atom: 20.83
# Crystal system: cubic
# ΔE to the lowest computed polymorph in meV per atom: 1282
data_NaLi3C
_chemical_formula_sum 'Na1 Li3 C1'
_cell_length_a 4.7050
_cell_length_b 4.7050
_cell_length_c 4.7050
_cell_angle_alpha 90.00
_cell_angle_beta 90.00
_cell_angle_gamma 90.00
_space_group_name_H-M_alt 'P m -3 m'
_space_group_IT_number 221
_space_group_name_Hall '-P 4 2 3'
loop_
_atom_site_label
_atom_site_fract_x
_atom_site_fract_y
_atom_site_fract_z
Na1 0.0000 0.0000 0.0000
Li1 0.0000 0.0000 0.5000
C1 0.5000 0.5000 0.5000

---

# 13
# NaLiC2 | Alexandria | PBE-GGA | optimized geometry
# Density of states at the Fermi level in states/eV/atom: 0.004
# V in Å³/atom: 10.74
# Crystal system: cubic
data_NaLiC2
_chemical_formula_sum 'Na4 Li4 C8'
_cell_length_a 5.5599
_cell_length_b 5.5599
_cell_length_c 5.5599
_cell_angle_alpha 90.00
_cell_angle_beta 90.00
_cell_angle_gamma 90.00
_space_group_name_H-M_alt 'F m -3 m'
_space_group_IT_number 225
_space_group_name_Hall '-F 4 2 3'
loop_
_atom_site_label
_atom_site_fract_x
_atom_site_fract_y
_atom_site_fract_z
Na1 0.0000 0.0000 0.0000
Li1 0.0000 0.0000 0.5000
C1 0.2500 0.2500 0.2500

---

# 14
# NaLi2C2 | Alexandria | PBE-GGA | optimized geometry
# Density of states at the Fermi level in states/eV/atom: 0.240
# V in Å³/atom: 13.07
# Crystal system: tetragonal
data_NaLi2C2
_chemical_formula_sum 'Na2 Li4 C4'
_cell_length_a 6.0562
_cell_length_b 6.0562
_cell_length_c 3.5631
_cell_angle_alpha 90.00
_cell_angle_beta 90.00
_cell_angle_gamma 90.00
_space_group_name_H-M_alt 'P 4/m b m'
_space_group_IT_number 127
_space_group_name_Hall '-P 4 2ab'
loop_
_atom_site_label
_atom_site_fract_x
_atom_site_fract_y
_atom_site_fract_z
Na1 0.0000 0.0000 0.0000
Li1 0.1537 0.3463 0.5000
C1 0.0755 0.5755 0.0000

---

# 15
# NaLi2C | Alexandria | PBE-GGA | optimized geometry
# Density of states at the Fermi level in states/eV/atom: 0.548
# V in Å³/atom: 20.10
# Crystal system: tetragonal
data_NaLi2C
_chemical_formula_sum 'Na4 Li8 C4'
_cell_length_a 5.1314
_cell_length_b 5.1314
_cell_length_c 12.2120
_cell_angle_alpha 90.00
_cell_angle_beta 90.00
_cell_angle_gamma 90.00
_space_group_name_H-M_alt 'I 41/a m d'
_space_group_IT_number 141
loop_
_space_group_symop_operation_xyz
'x,y,z'
'-x,-y,-z'
'-y+1/4,x+3/4,z+1/4'
'y+1/4,-x+3/4,-z+1/4'
'-x+1/2,-y,z+1/2'
'x+1/2,y,-z+1/2'
'y+1/4,-x+1/4,z+3/4'
'-y+1/4,x+1/4,-z+3/4'
'x,-y,-z'
'-x,y,z'
'-y+1/4,-x+1/4,-z+3/4'
'y+1/4,x+1/4,z+3/4'
'-x+1/2,y,-z+1/2'
'x+1/2,-y,z+1/2'
'y+1/4,x+3/4,-z+1/4'
'-y+1/4,-x+3/4,z+1/4'
'x+1/2,y+1/2,z+1/2'
'-x+1/2,-y+1/2,-z+1/2'
'-y+3/4,x+1/4,z+3/4'
'y+3/4,-x+1/4,-z+3/4'
'-x,-y+1/2,z'
'x,y+1/2,-z'
'y+3/4,-x+3/4,z+1/4'
'-y+3/4,x+3/4,-z+1/4'
'x+1/2,-y+1/2,-z+1/2'
'-x+1/2,y+1/2,z+1/2'
'-y+3/4,-x+3/4,-z+1/4'
'y+3/4,x+3/4,z+1/4'
'-x,y+1/2,-z'
'x,-y+1/2,z'
'y+3/4,x+1/4,-z+3/4'
'-y+3/4,-x+1/4,z+3/4'
loop_
_atom_site_label
_atom_site_fract_x
_atom_site_fract_y
_atom_site_fract_z
Na1 0.0000 0.2500 0.3750
Li1 0.0000 0.0000 0.0000
C1 0.0000 0.2500 0.8750

---

# 16
# NaLi3C | Alexandria | PBE-GGA | optimized geometry
# Density of states at the Fermi level in states/eV/atom: 0.144
# V in Å³/atom: 14.80
# Crystal system: cubic
# ΔE to the lowest computed polymorph in meV per atom: 0
data_NaLi3C
_chemical_formula_sum 'Na1 Li3 C1'
_cell_length_a 4.1982
_cell_length_b 4.1982
_cell_length_c 4.1982
_cell_angle_alpha 90.00
_cell_angle_beta 90.00
_cell_angle_gamma 90.00
_space_group_name_H-M_alt 'P m -3 m'
_space_group_IT_number 221
_space_group_name_Hall '-P 4 2 3'
loop_
_atom_site_label
_atom_site_fract_x
_atom_site_fract_y
_atom_site_fract_z
Na1 0.0000 0.0000 0.0000
Li1 0.0000 0.5000 0.5000
C1 0.5000 0.5000 0.5000

---

# 17
# NaLi2NiC | Alexandria | PBE-GGA | optimized geometry
# Density of states at the Fermi level in states/eV/atom: 0.443
# V in Å³/atom: 13.50
# Crystal system: tetragonal
data_NaLi2NiC
_chemical_formula_sum 'Na1 Li2 Ni1 C1'
_cell_length_a 4.2944
_cell_length_b 4.2944
_cell_length_c 3.6604
_cell_angle_alpha 90.00
_cell_angle_beta 90.00
_cell_angle_gamma 90.00
_space_group_name_H-M_alt 'P 4/m m m'
_space_group_IT_number 123
_space_group_name_Hall '-P 4 2'
loop_
_atom_site_label
_atom_site_fract_x
_atom_site_fract_y
_atom_site_fract_z
Na1 0.0000 0.0000 0.0000
Li1 0.0000 0.5000 0.5000
Ni1 0.5000 0.5000 0.0000
C1 0.5000 0.5000 0.5000

---

Sequential total magnetization output: 0.000, 1.693, 0.000, 0.000, 0.000, 1.055, 0.000, 0.001, 2.197, 0.002, 1.238, 0.938, 0.000, 0.000, 1.001, 0.000, 0.000 μB per formula unit
Sequential uncorrected energy output: -5.132, -3.609, -3.218, -6.271, -4.803, -5.493, -4.542, -3.268, -3.709, -4.898, -4.151, -1.648, -3.455, -4.471, -2.760, -2.931, -3.927 eV per atom
Sequential mass density output: 2.11, 1.72, 2.50, 1.70, 1.86, 4.29, 4.66, 5.82, 4.07, 2.58, 4.74, 0.89, 2.09, 1.55, 1.01, 1.25, 2.65 Mg/m³